This record from Alexandria via LeMat-Bulk describes crystalline BaYPa2O8 at its relaxed geometry. The functional is GGA-PBE.

As for the space group: I-4. Its raw formation energy is -3.243 eV per atom. The calculation puts the theoretical density at 7.889 Mg/m³.

Lattice parameters (Å, degrees): 5.599 5.599 6.762 114.46 114.46 90.00
Last column: magnetic moment on the atom in μB.
Atoms (fractional coordinates):
O1 0.158 0.116 0.762  0.09
O2 0.884 0.396 0.238  0.09
O3 0.604 0.645 0.762  0.09
O4 0.159 0.645 0.763  0.08
O5 0.355 0.395 0.237  0.08
Pa1 0.500 0.500 0.000  -0.03
O6 0.605 0.119 0.763  0.08
O7 0.355 0.842 0.238  0.09
O8 0.881 0.841 0.237  0.08
Pa2 0.250 0.750 0.500  -0.02
Ba1 0.750 0.250 0.500  0.03
Y1 0.000 0.000 0.000  -0.01